Compound: PrGa3Ag
Source: the Alexandria database
Functional: GGA-PBE
Structure: relaxed

a = 6.045 Å, b = 5.805 Å, c = 5.806 Å
α = 92.90°, β = 90.00°, γ = 90.01°
Atoms (fractional coordinates):
1 Pr 0.476 0.340 0.614
2 Pr 0.976 0.013 0.287
3 Ga 0.226 0.516 0.111
4 Ga 0.471 0.122 0.096
5 Ga 0.981 0.531 0.503
6 Ga 0.726 0.836 0.791
7 Ga 0.970 0.230 0.805
8 Ga 0.481 0.822 0.398
9 Ag 0.225 0.842 0.785
10 Ag 0.725 0.511 0.117

Properties
* density: 7.5 Mg/m³
* Fermi-level density of states: 1.618 states/eV/f.u.
* total magnetic moment: 0.00 μB/atom

=====

Compound: PrGa3Ag3
Source: the Alexandria database
Functional: GGA-PBE
Structure: relaxed

a = 7.432 Å, b = 7.432 Å, c = 7.299 Å
α = 59.39°, β = 59.39°, γ = 60.00°
Atoms (fractional coordinates):
1 Pr 0.371 0.371 0.886
2 Pr 0.629 0.629 0.114
3 Ga 0.065 0.683 0.186
4 Ga 0.066 0.065 0.186
5 Ga 0.683 0.066 0.186
6 Ga 0.317 0.934 0.814
7 Ga 0.934 0.935 0.814
8 Ga 0.935 0.317 0.814
9 Ag 0.677 0.676 0.581
10 Ag 0.676 0.066 0.581
11 Ag 0.066 0.677 0.581
12 Ag 0.934 0.323 0.419
13 Ag 0.324 0.934 0.419
14 Ag 0.323 0.324 0.419

Properties
* density: 7.9 Mg/m³
* Fermi-level density of states: 2.733 states/eV/f.u.
* total magnetic moment: 0.00 μB/atom

=====

Number 1: E_form -0.414 eV/atom, DFT total energy -18.780 eV/f.u.. Number 2: E_form -0.237 eV/atom, DFT total energy -24.070 eV/f.u..